1.
# PBE AlIn3Pd, optimized geometry
data_AlIn3Pd
_chemical_formula_sum 'Al1 In3 Pd1'
_symmetry_space_group_name_H-M 'P 1'
_symmetry_Int_Tables_number 1
_symmetry_space_group_name_Hall 'P 1'
_cell_length_a 5.213
_cell_length_b 5.213
_cell_length_c 5.213
_cell_angle_alpha 90.00
_cell_angle_beta 90.00
_cell_angle_gamma 90.00
loop_
_atom_site_label
_atom_site_fract_x
_atom_site_fract_y
_atom_site_fract_z
Al1 0.000 0.000 0.000
In1 0.000 0.000 0.500
In2 0.000 0.500 0.000
In3 0.500 0.000 0.000
Pd1 0.500 0.500 0.500
# - Energy of formation from the pure elements: 0.5502 eV/atom
# - Energy: -14.4 eV/cell
# - Total magnetic moment: 0.00 μB/cell
# - Mass density: 5.6 g/cm3
# - Volume: 141.7 Å³ per cell

---

2.
# PBE Al2In2Pd7, optimized geometry
data_Al2In2Pd7
_chemical_formula_sum 'Al2 In2 Pd7'
_symmetry_space_group_name_H-M 'P 1'
_symmetry_Int_Tables_number 1
_symmetry_space_group_name_Hall 'P 1'
_cell_length_a 5.961
_cell_length_b 5.961
_cell_length_c 5.723
_cell_angle_alpha 90.00
_cell_angle_beta 90.00
_cell_angle_gamma 98.42
loop_
_atom_site_label
_atom_site_fract_x
_atom_site_fract_y
_atom_site_fract_z
Al1 0.220 0.780 0.000
Al2 0.780 0.220 0.000
In1 0.311 0.311 0.500
In2 0.689 0.689 0.500
Pd1 0.000 0.000 0.258
Pd2 0.000 0.000 0.742
Pd3 0.000 0.500 0.252
Pd4 0.000 0.500 0.748
Pd5 0.500 0.000 0.252
Pd6 0.500 0.000 0.748
Pd7 0.500 0.500 0.000
# - Energy of formation from the pure elements: -0.4180 eV/atom
# - Energy: -53.9 eV/cell
# - Total magnetic moment: 0.00 μB/cell
# - Mass density: 8.5 g/cm3
# - Volume: 201.2 Å³ per cell

---

3.
# PBE AlInPd5, optimized geometry
data_AlInPd5
_chemical_formula_sum 'Al1 In1 Pd5'
_symmetry_space_group_name_H-M 'P 1'
_symmetry_Int_Tables_number 1
_symmetry_space_group_name_Hall 'P 1'
_cell_length_a 4.131
_cell_length_b 4.131
_cell_length_c 6.790
_cell_angle_alpha 90.00
_cell_angle_beta 90.00
_cell_angle_gamma 90.00
loop_
_atom_site_label
_atom_site_fract_x
_atom_site_fract_y
_atom_site_fract_z
Al1 0.000 0.000 0.000
In1 0.500 0.500 0.500
Pd1 0.000 0.000 0.500
Pd2 0.000 0.500 0.213
Pd3 0.000 0.500 0.787
Pd4 0.500 0.000 0.213
Pd5 0.500 0.000 0.787
# - Energy of formation from the pure elements: -0.5279 eV/atom
# - Energy: -36.1 eV/cell
# - Total magnetic moment: 0.00 μB/cell
# - Mass density: 9.7 g/cm3
# - Volume: 115.9 Å³ per cell

---

4.
# PBE AlInPd14, optimized geometry
data_AlInPd14
_chemical_formula_sum 'Al1 In1 Pd14'
_symmetry_space_group_name_H-M 'P 1'
_symmetry_Int_Tables_number 1
_symmetry_space_group_name_Hall 'P 1'
_cell_length_a 5.688
_cell_length_b 5.688
_cell_length_c 7.690
_cell_angle_alpha 90.00
_cell_angle_beta 90.00
_cell_angle_gamma 90.00
loop_
_atom_site_label
_atom_site_fract_x
_atom_site_fract_y
_atom_site_fract_z
Al1 0.000 0.000 0.000
In1 0.500 0.500 0.000
Pd1 0.000 0.000 0.500
Pd2 0.000 0.500 0.000
Pd3 0.000 0.500 0.500
Pd4 0.246 0.246 0.246
Pd5 0.246 0.246 0.754
Pd6 0.246 0.754 0.246
Pd7 0.246 0.754 0.754
Pd8 0.500 0.000 0.000
Pd9 0.500 0.000 0.500
Pd10 0.500 0.500 0.500
Pd11 0.754 0.246 0.246
Pd12 0.754 0.246 0.754
Pd13 0.754 0.754 0.246
Pd14 0.754 0.754 0.754
# - Energy of formation from the pure elements: -0.2570 eV/atom
# - Energy: -83.3 eV/cell
# - Total magnetic moment: 0.00 μB/cell
# - Mass density: 10.9 g/cm3
# - Volume: 248.7 Å³ per cell

---

What did the third record say?
# PBE AlInPd5, optimized geometry
data_AlInPd5
_chemical_formula_sum 'Al1 In1 Pd5'
_symmetry_space_group_name_H-M 'P 1'
_symmetry_Int_Tables_number 1
_symmetry_space_group_name_Hall 'P 1'
_cell_length_a 4.131
_cell_length_b 4.131
_cell_length_c 6.790
_cell_angle_alpha 90.00
_cell_angle_beta 90.00
_cell_angle_gamma 90.00
loop_
_atom_site_label
_atom_site_fract_x
_atom_site_fract_y
_atom_site_fract_z
Al1 0.000 0.000 0.000
In1 0.500 0.500 0.500
Pd1 0.000 0.000 0.500
Pd2 0.000 0.500 0.213
Pd3 0.000 0.500 0.787
Pd4 0.500 0.000 0.213
Pd5 0.500 0.000 0.787
# - Energy of formation from the pure elements: -0.5279 eV/atom
# - Energy: -36.1 eV/cell
# - Total magnetic moment: 0.00 μB/cell
# - Mass density: 9.7 g/cm3
# - Volume: 115.9 Å³ per cell

---

Repeat the third record exactly.
# PBE AlInPd5, optimized geometry
data_AlInPd5
_chemical_formula_sum 'Al1 In1 Pd5'
_symmetry_space_group_name_H-M 'P 1'
_symmetry_Int_Tables_number 1
_symmetry_space_group_name_Hall 'P 1'
_cell_length_a 4.131
_cell_length_b 4.131
_cell_length_c 6.790
_cell_angle_alpha 90.00
_cell_angle_beta 90.00
_cell_angle_gamma 90.00
loop_
_atom_site_label
_atom_site_fract_x
_atom_site_fract_y
_atom_site_fract_z
Al1 0.000 0.000 0.000
In1 0.500 0.500 0.500
Pd1 0.000 0.000 0.500
Pd2 0.000 0.500 0.213
Pd3 0.000 0.500 0.787
Pd4 0.500 0.000 0.213
Pd5 0.500 0.000 0.787
# - Energy of formation from the pure elements: -0.5279 eV/atom
# - Energy: -36.1 eV/cell
# - Total magnetic moment: 0.00 μB/cell
# - Mass density: 9.7 g/cm3
# - Volume: 115.9 Å³ per cell

---

Among the records above, which one has the lowest energy?
AlInPd14

---

Look up the volume of the first one.
141.7 Å³ per cell